Record 1
## Ac4SnTe2Pt (PBE-GGA)

Data for a relaxed structure of Ac4SnTe2Pt.

crystal system	monoclinic
raw formation energy	-1189	meV/atom
calculated volume	297	Å³/f.u.
raw total energy	-5.284	eV per atom
symmetry	P2/m

POSCAR file:
```
Ac4SnTe2Pt
1.0
8.042 0.000 0.000
0.000 4.648 0.000
-2.653 0.000 7.944
Ac Sn Te Pt
4 1 2 1
direct
0.229 0.000 0.222 Ac
0.242 0.500 0.770 Ac
0.758 0.500 0.230 Ac
0.771 0.000 0.778 Ac
0.500 0.000 0.000 Sn
0.000 0.000 0.500 Te
0.500 0.500 0.500 Te
0.000 0.500 0.000 Pt
```



Record 2
## Ac2ThSn3Pt4 (PBE-GGA)

Data for a relaxed structure of Ac2ThSn3Pt4.

crystal system	tetragonal
ΔH_f (0 K)	-0.938	eV/atom
calculated volume	254	Å³/f.u.
raw total energy	-6.119	eV per atom
symmetry	P-4m2

POSCAR file:
```
Ac2ThSn3Pt4
1.0
4.785 0.000 0.000
0.000 4.785 0.000
0.000 0.000 11.076
Ac Th Sn Pt
2 1 3 4
direct
0.000 0.500 0.220 Ac
0.500 0.000 0.780 Ac
0.000 0.000 0.500 Th
0.000 0.500 0.881 Sn
0.500 0.000 0.119 Sn
0.500 0.500 0.500 Sn
0.000 0.000 0.000 Pt
0.000 0.500 0.642 Pt
0.500 0.000 0.358 Pt
0.500 0.500 0.000 Pt
```



Record 3
## Ac2TiSn4Pt3 (PBE-GGA)

Data for a relaxed structure of Ac2TiSn4Pt3.

crystal system	tetragonal
ΔH_f (0 K)	-0.812	eV/atom
calculated volume	241	Å³/f.u.
raw total energy	-5.837	eV per atom
symmetry	P-4m2

POSCAR file:
```
Ac2TiSn4Pt3
1.0
4.562 0.000 0.000
0.000 4.562 0.000
0.000 0.000 11.595
Ac Ti Sn Pt
2 1 4 3
direct
0.000 0.500 0.247 Ac
0.500 0.000 0.753 Ac
0.000 0.000 0.500 Ti
0.000 0.000 0.000 Sn
0.000 0.500 0.635 Sn
0.500 0.000 0.365 Sn
0.500 0.500 0.000 Sn
0.000 0.500 0.869 Pt
0.500 0.000 0.131 Pt
0.500 0.500 0.500 Pt
```



Record 4
## Ac2TiSnPt6 (PBE-GGA)

Data for a relaxed structure of Ac2TiSnPt6.

crystal system	monoclinic
ΔH_f (0 K)	-0.841	eV/atom
calculated volume	228	Å³/f.u.
raw total energy	-6.477	eV per atom
symmetry	C2/m

POSCAR file:
```
Ac2TiSnPt6
1.0
6.315 -2.809 0.000
6.315 2.809 0.000
-6.083 0.000 6.441
Ac Ti Sn Pt
2 1 1 6
direct
0.250 0.250 0.206 Ac
0.750 0.750 0.794 Ac
0.000 0.000 0.500 Ti
0.500 0.500 0.000 Sn
0.244 0.742 0.732 Pt
0.247 0.247 0.603 Pt
0.258 0.756 0.268 Pt
0.742 0.244 0.732 Pt
0.753 0.753 0.397 Pt
0.756 0.258 0.268 Pt
```



Record 5
## Ac2TiSn3Pt4 (PBE-GGA)

Data for a relaxed structure of Ac2TiSn3Pt4.

crystal system	tetragonal
ΔH_f (0 K)	-0.886	eV/atom
calculated volume	233	Å³/f.u.
raw total energy	-6.114	eV per atom
symmetry	P-4m2

POSCAR file:
```
Ac2TiSn3Pt4
1.0
4.673 0.000 0.000
0.000 4.673 0.000
0.000 0.000 10.662
Ac Ti Sn Pt
2 1 3 4
direct
0.000 0.500 0.245 Ac
0.500 0.000 0.755 Ac
0.000 0.000 0.500 Ti
0.000 0.500 0.873 Sn
0.500 0.000 0.127 Sn
0.500 0.500 0.500 Sn
0.000 0.000 0.000 Pt
0.000 0.500 0.625 Pt
0.500 0.000 0.375 Pt
0.500 0.500 0.000 Pt
```



Record 6
## AcTlSnPt (PBE-GGA)

Data for a relaxed structure of AcTlSnPt.

crystal system	cubic
ΔH_f (0 K)	-0.481	eV/atom
calculated volume	105	Å³/f.u.
raw total energy	-4.610	eV per atom
symmetry	F-43m

POSCAR file:
```
AcTlSnPt
1.0
0.000 3.749 3.749
3.749 0.000 3.749
3.749 3.749 0.000
Ac Tl Sn Pt
1 1 1 1
direct
0.000 0.000 0.000 Ac
0.750 0.750 0.750 Tl
0.500 0.500 0.500 Sn
0.250 0.250 0.250 Pt
```